Material: La4Ga3Au
Method: DFT, PBE
State: optimized geometry

Unit cell a=4.3872 b=4.5004 c=11.3409 alpha=90.00 beta=90.00 gamma=90.00
Space group Pmm2 (No. 25)
Symmetry-distinct sites (fractional):
La  0.0000  0.0000  0.0000 (multiplicity 1)
La  0.0000  0.5000  0.4972 (multiplicity 1)
La  0.5000  0.0000  0.2815 (multiplicity 1)
La  0.5000  0.5000  0.7803 (multiplicity 1)
Ga  0.0000  0.0000  0.7097 (multiplicity 1)
Ga  0.0000  0.5000  0.2143 (multiplicity 1)
Ga  0.5000  0.0000  0.5708 (multiplicity 1)
Au  0.5000  0.5000  0.0637 (multiplicity 1)

Material: LaGa6Au12
Method: DFT, PBE
State: optimized geometry

Unit cell a=12.0215 b=12.0215 c=8.9543 alpha=90.00 beta=90.00 gamma=120.00
Space group R-3m (No. 166, hexagonal axes)
Symmetry-distinct sites (fractional):
La  0.0000  0.0000  0.0000 (multiplicity 3)
Ga  0.0536  0.5268  0.2507 (multiplicity 18)
Au  0.0000  0.3812  0.5000 (multiplicity 18)
Au  0.0818  0.1635  0.3006 (multiplicity 18)

Material: La4Ga2Au
Method: DFT, PBE
State: optimized geometry

Unit cell a=5.3256 b=5.3256 c=25.5139 alpha=90.00 beta=90.00 gamma=120.00
Space group R-3m (No. 166, hexagonal axes)
Symmetry-distinct sites (fractional):
La  0.0000  0.0000  0.1215 (multiplicity 6)
La  0.0000  0.0000  0.3737 (multiplicity 6)
Ga  0.0000  0.0000  0.2514 (multiplicity 6)
Au  0.0000  0.0000  0.5000 (multiplicity 3)

Material: La2Ga2Au3
Method: DFT, PBE
State: optimized geometry

Unit cell a=4.3399 b=20.3150 c=7.3743 alpha=90.00 beta=90.00 gamma=90.00
Space group Cmcm (No. 63)
Symmetry-distinct sites (fractional):
La  0.0000  0.0582  0.2500 (multiplicity 4)
La  0.0000  0.1581  0.7500 (multiplicity 4)
Ga  0.0000  0.3095  0.5584 (multiplicity 8)
Au  0.0000  0.2222  0.2500 (multiplicity 4)
Au  0.0000  0.4355  0.0565 (multiplicity 8)

Calculated values
* relative energy among the computed polymorphs: 0 meV/atom

Material: LaGa4Au2
Method: DFT, PBE
State: optimized geometry

Unit cell a=17.6450 b=4.5792 c=6.8926 alpha=90.00 beta=90.00 gamma=90.00
Space group Pnma (No. 62)
Symmetry-distinct sites (fractional):
La  0.1403  0.2500  0.0078 (multiplicity 4)
Ga  0.0376  0.7500  0.8396 (multiplicity 4)
Ga  0.0666  0.2500  0.4713 (multiplicity 4)
Ga  0.1820  0.7500  0.3184 (multiplicity 4)
Ga  0.1859  0.7500  0.7160 (multiplicity 4)
Au  0.0324  0.7500  0.2420 (multiplicity 4)
Au  0.2157  0.2500  0.5214 (multiplicity 4)

Material: La2GaAu3
Method: DFT, PBE
State: optimized geometry

Unit cell a=3.7420 b=4.6858 c=8.2738 alpha=90.00 beta=90.00 gamma=90.00
Space group Pmm2 (No. 25)
Symmetry-distinct sites (fractional):
La  0.0000  0.0000  0.0000 (multiplicity 1)
La  0.0000  0.5000  0.4872 (multiplicity 1)
Ga  0.5000  0.5000  0.8196 (multiplicity 1)
Au  0.5000  0.0000  0.3339 (multiplicity 1)
Au  0.5000  0.0000  0.6756 (multiplicity 1)
Au  0.5000  0.5000  0.1412 (multiplicity 1)

Calculated values
* relative energy among the computed polymorphs: 0 meV/atom

Material: LaGaAu2
Method: DFT, PBE
State: optimized geometry

Unit cell a=8.7243 b=7.1355 c=5.7127 alpha=90.00 beta=90.00 gamma=90.00
Space group Pnma (No. 62)
Symmetry-distinct sites (fractional):
La  0.0610  0.2500  0.1543 (multiplicity 4)
Ga  0.1091  0.7500  0.3524 (multiplicity 4)
Au  0.1779  0.0470  0.6275 (multiplicity 8)

Material: La2GaAu
Method: DFT, PBE
State: optimized geometry

Unit cell a=3.7458 b=3.7458 c=7.6953 alpha=90.00 beta=90.00 gamma=90.00
Space group P4/mmm (No. 123)
Symmetry-distinct sites (fractional):
La  0.0000  0.0000  0.2474 (multiplicity 2)
Ga  0.5000  0.5000  0.0000 (multiplicity 1)
Au  0.5000  0.5000  0.5000 (multiplicity 1)

Material: LaGa2Au
Method: DFT, PBE
State: optimized geometry

Unit cell a=4.4392 b=4.4392 c=4.5669 alpha=90.00 beta=90.00 gamma=90.00
Space group P4/mmm (No. 123)
Symmetry-distinct sites (fractional):
La  0.0000  0.0000  0.0000 (multiplicity 1)
Ga  0.0000  0.5000  0.5000 (multiplicity 2)
Au  0.5000  0.5000  0.0000 (multiplicity 1)

Material: La2Ga3Au5
Method: DFT, PBE
State: optimized geometry

Unit cell a=4.3347 b=4.3347 c=11.5621 alpha=90.00 beta=90.00 gamma=90.00
Space group P-4m2 (No. 115)
Symmetry-distinct sites (fractional):
La  0.0000  0.5000  0.2490 (multiplicity 2)
Ga  0.0000  0.0000  0.0000 (multiplicity 1)
Ga  0.0000  0.5000  0.8730 (multiplicity 2)
Au  0.0000  0.0000  0.5000 (multiplicity 1)
Au  0.0000  0.5000  0.6570 (multiplicity 2)
Au  0.5000  0.5000  0.0000 (multiplicity 1)
Au  0.5000  0.5000  0.5000 (multiplicity 1)

Material: LaGaAu4
Method: DFT, PBE
State: optimized geometry

Unit cell a=8.0092 b=8.0092 c=8.0092 alpha=90.00 beta=90.00 gamma=90.00
Space group F-43m (No. 216)
Symmetry-distinct sites (fractional):
La  0.0000  0.0000  0.0000 (multiplicity 4)
Ga  0.2500  0.2500  0.7500 (multiplicity 4)
Au  0.1245  0.1245  0.3755 (multiplicity 16)

Calculated values
* relative energy among the computed polymorphs: 75 meV/atom

Material: La2GaAu
Method: DFT, PBE
State: optimized geometry

Unit cell a=5.7275 b=5.7275 c=17.5898 alpha=90.00 beta=90.00 gamma=90.00
Space group I-42d (No. 122)
Symmetry-distinct sites (fractional):
La  0.2490  0.2500  0.1250 (multiplicity 8)
Ga  0.0000  0.0000  0.5000 (multiplicity 4)
Au  0.0000  0.0000  0.0000 (multiplicity 4)

| no. | E_form (eV per atom) | total DFT energy (no corrections) (eV/atom) |
| --- | --- | --- |
| 1 | -0.618 | -4.626 |
| 2 | -0.234 | -3.519 |
| 3 | -0.493 | -4.642 |
| 4 | -0.729 | -4.406 |
| 5 | -0.544 | -3.914 |
| 6 | -0.825 | -4.611 |
| 7 | -0.702 | -4.330 |
| 8 | -0.671 | -4.710 |
| 9 | -0.499 | -4.064 |
| 10 | -0.586 | -4.119 |
| 11 | -0.429 | -3.939 |
| 12 | -0.079 | -4.119 |